No. 1
Below is BaZrMo2 at its PBEsol-relaxed geometry, with properties calculated at the meta-GGA SCAN level.

Formation enthalpy at 0 K, eV/f.u.: 1.93
Relative energy among the computed polymorphs, meV/atom: 0
Total magnetization, μB per atom: 0.000
Space group: No. 99
DOS(E_F), states/eV per atom: 1.10

a b c (Å): 3.2278 3.2278 8.7774
angles (deg): 90.00 90.00 90.00
Element x y z (fractional)
1 Mo 0.0000 0.0000 0.0751
2 Ba 0.5000 0.5000 0.7818
3 Zr 0.0000 0.0000 0.4184
4 Mo 0.5000 0.5000 0.2247

***

No. 2
Below is Ba2N at its PBEsol-relaxed geometry, with properties calculated at the meta-GGA SCAN level.

Formation energy from raw total energies, meV/atom: -550
Total magnetization, μB per atom: 0.025
Space group: No. 166
DOS(E_F), states/eV per atom: 0.57

a b c (Å): 3.9705 3.9705 7.8516
angles (deg): 75.35 75.35 60.00
Element x y z (fractional)
1 N 0.0000 0.0000 0.0000
2 Ba 0.7329 0.7329 0.8012
3 Ba 0.2671 0.2671 0.1988